DFT (PBE) results for crystalline Sm6Zn3Hg at its relaxed geometry.

The space group is P2_1/m (11). Its magnetic moment is 0.000 μB/atom. For the calculated volume, the calculation gives 26.782 Å³/atom. As for the calculated density: 8.05 g cm⁻³. As for the formation energy: -0.24 eV/atom. Its total energy is -3.4832 eV/atom. The value obtained for the density of states at the Fermi level is 19.240 states/eV per cell.

Geometry as POSCAR:
```
Sm6Zn3Hg
1.0
-0.3759 0.5571 -5.0741
9.0658 -2.7388 -0.9724
-6.5219 -9.4733 -0.5569
Sm Hg Zn
12 2 6
Direct
0.2500 0.2797 0.5022 Sm
0.2500 0.8489 0.3270 Sm
0.7500 0.8801 0.8467 Sm
0.2500 0.4781 0.1016 Sm
0.7500 0.7203 0.4978 Sm
0.7500 0.1511 0.6730 Sm
0.2500 0.6450 0.6893 Sm
0.7500 0.3550 0.3107 Sm
0.7500 0.8731 0.1192 Sm
0.2500 0.1269 0.8808 Sm
0.2500 0.1199 0.1533 Sm
0.7500 0.5219 0.8984 Sm
0.7500 0.0674 0.3846 Hg
0.2500 0.9326 0.6154 Hg
0.7500 0.6254 0.2223 Zn
0.7500 0.2307 0.0254 Zn
0.2500 0.3746 0.7777 Zn
0.7500 0.4629 0.6171 Zn
0.2500 0.5371 0.3829 Zn
0.2500 0.7693 0.9746 Zn
```